Entry 1:
# AsPb (PBE, optimized geometry)
data_AsPb
_chemical_formula_sum 'As2 Pb2'
_symmetry_space_group_name_H-M 'P 1'
_symmetry_Int_Tables_number 1
_cell_length_a 5.2822
_cell_length_b 4.2761
_cell_length_c 4.8636
_cell_angle_alpha 90.00
_cell_angle_beta 90.00
_cell_angle_gamma 90.00
loop_
_symmetry_equiv_pos_as_xyz
'x,y,z'
loop_
_atom_site_label
_atom_site_type_symbol
_atom_site_fract_x
_atom_site_fract_y
_atom_site_fract_z
_atom_site_occupancy
As1 As 0.2500 0.0000 0.1189 1
As2 As 0.7500 0.0000 0.8811 1
Pb1 Pb 0.2500 0.5000 0.7086 1
Pb2 Pb 0.7500 0.5000 0.2914 1
# Formation energy, eV per atom: 0.133
# Space-group type: Pmma, No. 51
# N(E_F), states/eV per cell: 1.93



Entry 2:
# As4Pb (PBE, optimized geometry)
data_As4Pb
_chemical_formula_sum 'As4 Pb1'
_symmetry_space_group_name_H-M 'P 1'
_symmetry_Int_Tables_number 1
_cell_length_a 5.3476
_cell_length_b 5.3476
_cell_length_c 5.3476
_cell_angle_alpha 90.00
_cell_angle_beta 90.00
_cell_angle_gamma 90.00
loop_
_symmetry_equiv_pos_as_xyz
'x,y,z'
loop_
_atom_site_label
_atom_site_type_symbol
_atom_site_fract_x
_atom_site_fract_y
_atom_site_fract_z
_atom_site_occupancy
As1 As 0.0000 0.0000 0.0000 1
As2 As 0.0000 0.5000 0.5000 1
As3 As 0.5000 0.0000 0.5000 1
As4 As 0.5000 0.5000 0.0000 1
Pb1 Pb 0.5000 0.5000 0.5000 1
# Energy above the lowest structure with this stoichiometry, eV per atom: 1.160
# Formation energy, eV per atom: 1.346
# Space-group type: Pm-3m, No. 221
# N(E_F), states/eV per cell: 7.73



Entry 3:
# As4Pb3 (PBE, optimized geometry)
data_As4Pb3
_chemical_formula_sum 'As4 Pb3'
_symmetry_space_group_name_H-M 'P 1'
_symmetry_Int_Tables_number 1
_cell_length_a 14.0995
_cell_length_b 14.0995
_cell_length_c 14.0995
_cell_angle_alpha 165.41
_cell_angle_beta 165.41
_cell_angle_gamma 20.69
loop_
_symmetry_equiv_pos_as_xyz
'x,y,z'
loop_
_atom_site_label
_atom_site_type_symbol
_atom_site_fract_x
_atom_site_fract_y
_atom_site_fract_z
_atom_site_occupancy
As1 As 0.0830 0.0830 0.0000 1
As2 As 0.3832 0.3832 0.0000 1
As3 As 0.6168 0.6168 0.0000 1
As4 As 0.9170 0.9170 0.0000 1
Pb1 Pb 0.2062 0.2062 0.0000 1
Pb2 Pb 0.5000 0.5000 0.0000 1
Pb3 Pb 0.7938 0.7938 0.0000 1
# Formation energy, eV per atom: 0.128
# Space-group type: I4/mmm, No. 139
# N(E_F), states/eV per cell: 2.79



Entry 4:
# AsPb (PBE, optimized geometry)
data_AsPb
_chemical_formula_sum 'As1 Pb1'
_symmetry_space_group_name_H-M 'P 1'
_symmetry_Int_Tables_number 1
_cell_length_a 4.6966
_cell_length_b 4.6966
_cell_length_c 4.6966
_cell_angle_alpha 60.00
_cell_angle_beta 60.00
_cell_angle_gamma 60.00
loop_
_symmetry_equiv_pos_as_xyz
'x,y,z'
loop_
_atom_site_label
_atom_site_type_symbol
_atom_site_fract_x
_atom_site_fract_y
_atom_site_fract_z
_atom_site_occupancy
As1 As 0.0000 0.0000 0.0000 1
Pb1 Pb 0.2500 0.2500 0.2500 1
# Formation energy, eV per atom: 0.181
# Space-group type: F-43m, No. 216
# N(E_F), states/eV per cell: 2.34



Entry 5:
# As3Pb (PBE, optimized geometry)
data_As3Pb
_chemical_formula_sum 'As6 Pb2'
_symmetry_space_group_name_H-M 'P 1'
_symmetry_Int_Tables_number 1
_cell_length_a 7.9309
_cell_length_b 7.9309
_cell_length_c 3.7776
_cell_angle_alpha 90.00
_cell_angle_beta 90.00
_cell_angle_gamma 125.40
loop_
_symmetry_equiv_pos_as_xyz
'x,y,z'
loop_
_atom_site_label
_atom_site_type_symbol
_atom_site_fract_x
_atom_site_fract_y
_atom_site_fract_z
_atom_site_occupancy
As1 As 0.1143 0.2556 0.7500 1
As2 As 0.1803 0.8197 0.7500 1
As3 As 0.2556 0.1143 0.2500 1
As4 As 0.7444 0.8857 0.7500 1
As5 As 0.8197 0.1803 0.2500 1
As6 As 0.8857 0.7444 0.2500 1
Pb1 Pb 0.3542 0.6458 0.2500 1
Pb2 Pb 0.6458 0.3542 0.7500 1
# Energy above the lowest structure with this stoichiometry, eV per atom: 0.149
# Formation energy, eV per atom: 0.190
# Space-group type: Cmcm, No. 63
# N(E_F), states/eV per cell: 2.35



Entry 6:
# AsPb (PBE, optimized geometry)
data_AsPb
_chemical_formula_sum 'As2 Pb2'
_symmetry_space_group_name_H-M 'P 1'
_symmetry_Int_Tables_number 1
_cell_length_a 4.1375
_cell_length_b 4.9189
_cell_length_c 5.6879
_cell_angle_alpha 90.00
_cell_angle_beta 90.00
_cell_angle_gamma 90.00
loop_
_symmetry_equiv_pos_as_xyz
'x,y,z'
loop_
_atom_site_label
_atom_site_type_symbol
_atom_site_fract_x
_atom_site_fract_y
_atom_site_fract_z
_atom_site_occupancy
As1 As 0.2500 0.2500 0.0285 1
As2 As 0.7500 0.7500 0.9715 1
Pb1 Pb 0.2500 0.7500 0.3337 1
Pb2 Pb 0.7500 0.2500 0.6663 1
# Formation energy, eV per atom: 0.137
# Space-group type: Pmmn, No. 59
# N(E_F), states/eV per cell: 1.40



Entry 7:
# AsPb (PBE, optimized geometry)
data_AsPb
_chemical_formula_sum 'As4 Pb4'
_symmetry_space_group_name_H-M 'P 1'
_symmetry_Int_Tables_number 1
_cell_length_a 5.3998
_cell_length_b 5.3998
_cell_length_c 9.3904
_cell_angle_alpha 90.00
_cell_angle_beta 90.00
_cell_angle_gamma 120.00
loop_
_symmetry_equiv_pos_as_xyz
'x,y,z'
loop_
_atom_site_label
_atom_site_type_symbol
_atom_site_fract_x
_atom_site_fract_y
_atom_site_fract_z
_atom_site_occupancy
As1 As 0.3333 0.6667 0.1191 1
As2 As 0.3333 0.6667 0.3809 1
As3 As 0.6667 0.3333 0.6191 1
As4 As 0.6667 0.3333 0.8809 1
Pb1 Pb 0.0000 0.0000 0.2500 1
Pb2 Pb 0.0000 0.0000 0.7500 1
Pb3 Pb 0.3333 0.6667 0.7500 1
Pb4 Pb 0.6667 0.3333 0.2500 1
# Formation energy, eV per atom: 0.341
# Space-group type: P6_3/mmc, No. 194
# N(E_F), states/eV per cell: 4.99



Entry 8:
# As3Pb (PBE, optimized geometry)
data_As3Pb
_chemical_formula_sum 'As3 Pb1'
_symmetry_space_group_name_H-M 'P 1'
_symmetry_Int_Tables_number 1
_cell_length_a 5.0386
_cell_length_b 5.0386
_cell_length_c 5.0386
_cell_angle_alpha 60.00
_cell_angle_beta 60.00
_cell_angle_gamma 60.00
loop_
_symmetry_equiv_pos_as_xyz
'x,y,z'
loop_
_atom_site_label
_atom_site_type_symbol
_atom_site_fract_x
_atom_site_fract_y
_atom_site_fract_z
_atom_site_occupancy
As1 As 0.0000 0.0000 0.0000 1
As2 As 0.2500 0.2500 0.2500 1
As3 As 0.7500 0.7500 0.7500 1
Pb1 Pb 0.5000 0.5000 0.5000 1
# Energy above the lowest structure with this stoichiometry, eV per atom: 0.388
# Formation energy, eV per atom: 0.429
# Space-group type: Fm-3m, No. 225
# N(E_F), states/eV per cell: 5.11



Entry 9:
# AsPb (PBE, optimized geometry)
data_AsPb
_chemical_formula_sum 'As8 Pb8'
_symmetry_space_group_name_H-M 'P 1'
_symmetry_Int_Tables_number 1
_cell_length_a 12.6821
_cell_length_b 12.6821
_cell_length_c 3.5485
_cell_angle_alpha 90.00
_cell_angle_beta 90.00
_cell_angle_gamma 90.00
loop_
_symmetry_equiv_pos_as_xyz
'x,y,z'
loop_
_atom_site_label
_atom_site_type_symbol
_atom_site_fract_x
_atom_site_fract_y
_atom_site_fract_z
_atom_site_occupancy
As1 As 0.0016 0.6004 0.0000 1
As2 As 0.1198 0.3429 0.5000 1
As3 As 0.3429 0.8802 0.5000 1
As4 As 0.3996 0.0016 0.0000 1
As5 As 0.6004 0.9984 0.0000 1
As6 As 0.6571 0.1198 0.5000 1
As7 As 0.8802 0.6571 0.5000 1
As8 As 0.9984 0.3996 0.0000 1
Pb1 Pb 0.2155 0.6894 0.0000 1
Pb2 Pb 0.3029 0.4874 0.5000 1
Pb3 Pb 0.3106 0.2155 0.0000 1
Pb4 Pb 0.4874 0.6971 0.5000 1
Pb5 Pb 0.5126 0.3029 0.5000 1
Pb6 Pb 0.6894 0.7845 0.0000 1
Pb7 Pb 0.6971 0.5126 0.5000 1
Pb8 Pb 0.7845 0.3106 0.0000 1
# Formation energy, eV per atom: 0.090
# Space-group type: P4/m, No. 83
# N(E_F), states/eV per cell: 4.22



Entry 10:
# As4Pb (PBE, optimized geometry)
data_As4Pb
_chemical_formula_sum 'As4 Pb1'
_symmetry_space_group_name_H-M 'P 1'
_symmetry_Int_Tables_number 1
_cell_length_a 5.6441
_cell_length_b 5.6441
_cell_length_c 5.6441
_cell_angle_alpha 109.47
_cell_angle_beta 109.47
_cell_angle_gamma 109.47
loop_
_symmetry_equiv_pos_as_xyz
'x,y,z'
loop_
_atom_site_label
_atom_site_type_symbol
_atom_site_fract_x
_atom_site_fract_y
_atom_site_fract_z
_atom_site_occupancy
As1 As 0.0000 0.0000 0.5000 1
As2 As 0.0000 0.5000 0.0000 1
As3 As 0.5000 0.0000 0.0000 1
As4 As 0.5000 0.5000 0.5000 1
Pb1 Pb 0.0000 0.0000 0.0000 1
# Energy above the lowest structure with this stoichiometry, eV per atom: 0.581
# Formation energy, eV per atom: 0.768
# Space-group type: Im-3m, No. 229
# N(E_F), states/eV per cell: 2.79



Entry 11:
# As4Pb (PBE, optimized geometry)
data_As4Pb
_chemical_formula_sum 'As4 Pb1'
_symmetry_space_group_name_H-M 'P 1'
_symmetry_Int_Tables_number 1
_cell_length_a 5.8171
_cell_length_b 5.8171
_cell_length_c 5.8171
_cell_angle_alpha 127.65
_cell_angle_beta 127.65
_cell_angle_gamma 77.20
loop_
_symmetry_equiv_pos_as_xyz
'x,y,z'
loop_
_atom_site_label
_atom_site_type_symbol
_atom_site_fract_x
_atom_site_fract_y
_atom_site_fract_z
_atom_site_occupancy
As1 As 0.1496 0.1496 0.0000 1
As2 As 0.2500 0.7500 0.5000 1
As3 As 0.7500 0.2500 0.5000 1
As4 As 0.8504 0.8504 0.0000 1
Pb1 Pb 0.5000 0.5000 0.0000 1
# Energy above the lowest structure with this stoichiometry, eV per atom: 0.000
# Formation energy, eV per atom: 0.186
# Space-group type: I4/mmm, No. 139
# N(E_F), states/eV per cell: 2.41



Entry 12:
# AsPb (PBE, optimized geometry)
data_AsPb
_chemical_formula_sum 'As2 Pb2'
_symmetry_space_group_name_H-M 'P 1'
_symmetry_Int_Tables_number 1
_cell_length_a 6.5777
_cell_length_b 6.5777
_cell_length_c 4.2605
_cell_angle_alpha 99.94
_cell_angle_beta 99.94
_cell_angle_gamma 37.49
loop_
_symmetry_equiv_pos_as_xyz
'x,y,z'
loop_
_atom_site_label
_atom_site_type_symbol
_atom_site_fract_x
_atom_site_fract_y
_atom_site_fract_z
_atom_site_occupancy
As1 As 0.0973 0.0973 0.1517 1
As2 As 0.9027 0.9027 0.8483 1
Pb1 Pb 0.3527 0.3527 0.3093 1
Pb2 Pb 0.6473 0.6473 0.6907 1
# Formation energy, eV per atom: 0.058
# Space-group type: C2/m, No. 12
# N(E_F), states/eV per cell: 2.00



> What is the N(E_F) in the twelfth record?

2.00 states/eV per cell